# 1
## TiBe2Pd (PBE)

Data for a relaxed structure of TiBe2Pd.

abc: 3.6343 3.6343 16.9190
angles: 90.00 90.00 90.00
Space group I-42d (No. 122)
Asymmetric unit:
Ti1 0.0000 0.0000 0.0000 (multiplicity 4)
Be1 0.1935 0.2500 0.6250 (multiplicity 8)
Pd1 0.0000 0.0000 0.5000 (multiplicity 4)

**DFT total energy**: -4.88 eV per atom
**Energy of formation**: 0.25 eV per atom
**Fermi-level density of states**: 14.90 states/eV per cell

# 2
## TiBePd5 (PBE)

Data for a relaxed structure of TiBePd5.

abc: 3.9215 3.9215 6.6516
angles: 90.00 90.00 90.00
Space group P4/mmm (No. 123)
Asymmetric unit:
Ti1 0.0000 0.0000 0.0000 (multiplicity 1)
Be1 0.5000 0.5000 0.5000 (multiplicity 1)
Pd1 0.0000 0.5000 0.2928 (multiplicity 4)
Pd2 0.5000 0.5000 0.0000 (multiplicity 1)

**DFT total energy**: -5.89 eV per atom
**Energy of formation**: -0.52 eV per atom
**Excess energy over the best structure of this formula in the dataset**: 0 meV per atom
**Fermi-level density of states**: 4.18 states/eV per cell

Q: DFT total energy of number 1 (TiBe2Pd)?
A: -4.88 eV per atom

Q: Among the records above, which one has the highest energy of formation?
A: TiBe2Pd

Q: DFT total energy of number 2 (TiBePd5)?
A: -5.89 eV per atom

Please write out number 2 again, unchanged.
## TiBePd5 (PBE)

Data for a relaxed structure of TiBePd5.

abc: 3.9215 3.9215 6.6516
angles: 90.00 90.00 90.00
Space group P4/mmm (No. 123)
Asymmetric unit:
Ti1 0.0000 0.0000 0.0000 (multiplicity 1)
Be1 0.5000 0.5000 0.5000 (multiplicity 1)
Pd1 0.0000 0.5000 0.2928 (multiplicity 4)
Pd2 0.5000 0.5000 0.0000 (multiplicity 1)

**DFT total energy**: -5.89 eV per atom
**Energy of formation**: -0.52 eV per atom
**Excess energy over the best structure of this formula in the dataset**: 0 meV per atom
**Fermi-level density of states**: 4.18 states/eV per cell